Ba6As2PF: optimized geometry, GGA-PBE.

As for the symmetry: P2_1/c (14).

Unit cell a=7.607 b=8.742 c=13.317 alpha=90.00 beta=123.19 gamma=90.00
Element x y z (fractional)
Ba: 0.098 0.183 0.429
Ba: 0.098 0.317 0.929
Ba: 0.253 0.687 0.432
Ba: 0.253 0.813 0.932
Ba: 0.385 0.044 0.242
Ba: 0.385 0.456 0.742
Ba: 0.615 0.544 0.258
Ba: 0.615 0.956 0.758
Ba: 0.747 0.187 0.068
Ba: 0.747 0.313 0.568
Ba: 0.902 0.683 0.071
Ba: 0.902 0.817 0.571
As: 0.191 0.110 0.748
As: 0.191 0.390 0.248
As: 0.809 0.610 0.752
As: 0.809 0.890 0.252
P: 0.500 0.000 0.500
P: 0.500 0.500 0.000
F: 0.000 0.000 0.000
F: 0.000 0.500 0.500

***

BaAsPbF: optimized geometry, GGA-PBE.

As for the symmetry: P4/nmm (129).

Unit cell a=4.799 b=4.799 c=9.770 alpha=90.00 beta=90.00 gamma=90.00
Element x y z (fractional)
Ba: 0.250 0.250 0.133
Ba: 0.750 0.750 0.867
As: 0.250 0.250 0.699
As: 0.750 0.750 0.301
Pb: 0.250 0.750 0.500
Pb: 0.750 0.250 0.500
F: 0.250 0.750 0.000
F: 0.750 0.250 0.000

***

BaAsPtF2: optimized geometry, GGA-PBE.

As for the symmetry: P4/mmm (123).

Unit cell a=4.800 b=4.800 c=4.695 alpha=90.00 beta=90.00 gamma=90.00
Element x y z (fractional)
Ba: 0.000 0.000 0.000
As: 0.500 0.500 0.000
Pt: 0.500 0.500 0.500
F: 0.000 0.500 0.500
F: 0.500 0.000 0.500

***

RbBaAsF6: optimized geometry, GGA-PBE.

As for the symmetry: P312 (149).

Unit cell a=6.430 b=6.430 c=5.561 alpha=90.00 beta=90.00 gamma=120.00
Element x y z (fractional)
Rb: 0.000 0.000 0.000
Ba: 0.333 0.667 0.500
As: 0.667 0.333 0.500
F: 0.398 0.059 0.706
F: 0.398 0.339 0.294
F: 0.661 0.059 0.294
F: 0.661 0.602 0.706
F: 0.941 0.339 0.706
F: 0.941 0.602 0.294

***

What ΔE_f (raw) values result from the calculations? In sequence: -1.29, -1.65, -1.31, -2.79 eV/atom.